Entry 1:
Entry from Alexandria via LeMat-Bulk: a relaxed NbAlFeOs crystal (PBE).

Calculated values
ΔH_f (0 K) ... -1.62 eV per formula unit
Calculated total energy ... -35.12 eV/cell
ρ ... 10.67 g/cm³

a = 4.318 Å, b = 4.318 Å, c = 4.318 Å
α = 60.00°, β = 60.00°, γ = 60.00°
Fractional positions:
Nb1 0.000 0.000 0.000
Os1 0.750 0.750 0.750
Fe1 0.250 0.250 0.250
Al1 0.500 0.500 0.500

Entry 2:
Entry from Alexandria via LeMat-Bulk: a relaxed Nd4Cu3Ir crystal (PBE).

Calculated values
ΔH_f (0 K) ... -2.62 eV per formula unit
Calculated total energy ... -42.84 eV/cell
ρ ... 8.37 g/cm³

a = 3.947 Å, b = 4.496 Å, c = 10.727 Å
α = 90.00°, β = 90.00°, γ = 90.00°
Fractional positions:
Ir1 0.500 0.500 0.077
Nd1 0.500 0.500 0.352
Nd2 0.000 0.500 0.868
Nd3 0.000 0.000 0.138
Nd4 0.500 0.000 0.640
Cu1 0.000 0.500 0.564
Cu2 0.000 0.000 0.433
Cu3 0.500 0.000 0.928

Entry 3:
Entry from Alexandria via LeMat-Bulk: a relaxed CdTe2Se crystal (PBE).

Calculated values
Calculated total energy ... -20.98 eV/cell
ρ ... 5.17 g/cm³

a = 6.021 Å, b = 6.021 Å, c = 8.983 Å
α = 70.42°, β = 70.42°, γ = 90.00°
Fractional positions:
Te1 0.601 0.125 0.250
Te2 0.149 0.625 0.250
Te3 0.375 0.399 0.750
Te4 0.875 0.851 0.750
Se1 0.500 0.500 0.000
Se2 0.250 0.750 0.500
Cd1 0.000 0.000 0.000
Cd2 0.750 0.250 0.500

Entry 4:
Entry from Alexandria via LeMat-Bulk: a relaxed AgAu2Br crystal (PBE).

Calculated values
Calculated total energy ... -10.41 eV/cell
Energy relative to the lowest polymorph listed for this composition ... 133 meV/atom
ρ ... 10.06 g/cm³

a = 7.014 Å, b = 7.014 Å, c = 7.014 Å
α = 148.11°, β = 148.11°, γ = 45.73°
Fractional positions:
Au1 0.000 0.000 0.000
Au2 0.500 0.500 0.000
Br1 0.250 0.750 0.500
Ag1 0.750 0.250 0.500

Entry 5:
Entry from Alexandria via LeMat-Bulk: a relaxed AcPr2Tl2 crystal (PBE).

Calculated values
ΔH_f (0 K) ... 0.18 eV per formula unit
Calculated total energy ... -36.45 eV/cell
Energy relative to the lowest polymorph listed for this composition ... 255 meV/atom
ρ ... 8.72 g/cm³

a = 5.468 Å, b = 5.468 Å, c = 13.495 Å
α = 90.00°, β = 90.00°, γ = 120.00°
Last column: magnetic moment on the atom in μB.
Fractional positions:
Ac1 0.000 0.000 0.250  0.09
Ac2 0.000 0.000 0.750  0.09
Pr1 0.667 0.333 0.750  0.03
Pr2 0.000 0.000 0.000  0.13
Pr3 0.000 0.000 0.500  0.13
Pr4 0.333 0.667 0.250  0.03
Tl1 0.333 0.667 0.627  0.00
Tl2 0.667 0.333 0.127  0.00
Tl3 0.667 0.333 0.373  0.00
Tl4 0.333 0.667 0.873  0.00

Entry 6:
Entry from Alexandria via LeMat-Bulk: a relaxed ErMgRh crystal (PBE).

Calculated values
ΔH_f (0 K) ... -1.57 eV per formula unit
Calculated total energy ... -15.08 eV/cell
ρ ... 7.11 g/cm³

a = 4.598 Å, b = 4.598 Å, c = 4.598 Å
α = 60.00°, β = 60.00°, γ = 60.00°
Fractional positions:
Mg1 0.500 0.500 0.500
Rh1 0.250 0.250 0.250
Er1 0.000 0.000 0.000

Entry 7:
Entry from Alexandria via LeMat-Bulk: a relaxed PrY14Tm crystal (PBE).

Calculated values
ΔH_f (0 K) ... 0.35 eV per formula unit
Calculated total energy ... -99.40 eV/cell
ρ ... 5.00 g/cm³

a = 7.154 Å, b = 7.154 Å, c = 10.082 Å
α = 90.00°, β = 90.00°, γ = 90.00°
Fractional positions:
Pr1 0.875 0.125 0.000
Y1 0.375 0.625 0.500
Y2 0.875 0.125 0.500
Y3 0.875 0.625 0.000
Y4 0.875 0.625 0.500
Y5 0.375 0.125 0.000
Y6 0.375 0.125 0.500
Y7 0.624 0.874 0.750
Y8 0.624 0.874 0.250
Y9 0.126 0.376 0.750
Y10 0.126 0.376 0.250
Y11 0.126 0.874 0.750
Y12 0.126 0.874 0.250
Y13 0.624 0.376 0.750
Y14 0.624 0.376 0.250
Tm1 0.375 0.625 0.000

Entry 8:
Entry from Alexandria via LeMat-Bulk: a relaxed AcTbNi2 crystal (PBE).

Calculated values
ΔH_f (0 K) ... -0.93 eV per formula unit
Calculated total energy ... -21.24 eV/cell
Energy relative to the lowest polymorph listed for this composition ... 81 meV/atom
ρ ... 8.91 g/cm³

a = 4.601 Å, b = 4.601 Å, c = 5.763 Å
α = 66.47°, β = 66.47°, γ = 60.00°
Fractional positions:
Ni1 0.786 0.786 0.641
Ni2 0.214 0.214 0.359
Ac1 0.000 0.000 0.000
Tb1 0.500 0.500 0.500

Entry 9:
Entry from Alexandria via LeMat-Bulk: a relaxed LiAl2AgSb crystal (PBE).

Calculated values
Calculated total energy ... -15.25 eV/cell
ρ ... 4.22 g/cm³

a = 4.896 Å, b = 4.772 Å, c = 4.896 Å
α = 90.00°, β = 90.00°, γ = 90.00°
Fractional positions:
Sb1 0.500 0.500 0.500
Al1 0.000 0.000 0.500
Al2 0.500 0.000 0.000
Ag1 0.000 0.000 0.000
Li1 0.000 0.500 0.000

Entry 10:
Entry from Alexandria via LeMat-Bulk: a relaxed In2SbSe crystal (PBE).

Calculated values
Calculated total energy ... -13.88 eV/cell
Energy relative to the lowest polymorph listed for this composition ... 45 meV/atom
ρ ... 6.55 g/cm³

a = 7.359 Å, b = 7.359 Å, c = 7.359 Å
α = 33.66°, β = 33.66°, γ = 33.66°
Fractional positions:
In1 0.000 0.000 0.000
In2 0.500 0.500 0.500
Sb1 0.250 0.250 0.250
Se1 0.750 0.750 0.750

Entry 11:
Entry from Alexandria via LeMat-Bulk: a relaxed AlCo2OsI crystal (PBE).

Calculated values
Calculated total energy ... -24.03 eV/cell
Energy relative to the lowest polymorph listed for this composition ... 0 meV/atom
ρ ... 8.54 g/cm³

a = 4.410 Å, b = 4.621 Å, c = 4.410 Å
α = 90.00°, β = 90.00°, γ = 90.00°
Last column: magnetic moment on the atom in μB.
Fractional positions:
I1 0.500 0.500 0.500  0.10
Co1 0.000 0.000 0.500  1.40
Co2 0.500 0.000 0.000  1.54
Os1 0.000 0.500 0.000  0.66
Al1 0.000 0.000 0.000  -0.05

Entry 12:
Entry from Alexandria via LeMat-Bulk: a relaxed CrNiSbTe2 crystal (PBE).

Calculated values
Calculated total energy ... -23.17 eV/cell
Energy relative to the lowest polymorph listed for this composition ... 0 meV/atom
ρ ... 6.24 g/cm³

a = 5.228 Å, b = 5.228 Å, c = 4.747 Å
α = 90.00°, β = 90.00°, γ = 90.00°
Last column: magnetic moment on the atom in μB.
Fractional positions:
Sb1 0.000 0.000 0.500  -0.08
Te1 0.000 0.500 0.000  -0.13
Te2 0.500 0.000 0.000  -0.13
Cr1 0.500 0.500 0.500  4.07
Ni1 0.000 0.000 0.000  -0.09

Which of these has the lowest ρ? LiAl2AgSb

Which formula does entry 8 have? AcTbNi2

ρ of number 2 (Nd4Cu3Ir)? 8.37 g/cm³

Look up the calculated total energy of the seventh one. -99.40 eV/cell